The following is a PBE with a Hubbard U calculation of a relaxed TaCrO3 crystal, from Alexandria via LeMat-Bulk. Values from VASP.

Cell and atoms, written as Quantum ESPRESSO input:
```
&SYSTEM
  ibrav = 0, nat = 5, ntyp = 3
/
ATOMIC_SPECIES
Cr 52.00 Cr.upf
O 16.00 O.upf
Ta 180.95 Ta.upf
CELL_PARAMETERS angstrom
-2.071 1.712 2.632
1.071 -2.579 2.520
2.952 2.137 0.932
ATOMIC_POSITIONS crystal
Cr 0.000 0.000 0.000
O 0.000 0.500 0.000
O 0.000 0.000 0.500
O 0.500 0.000 0.000
Ta 0.500 0.500 0.500
```

Results
Total moment, μB per formula unit: 1.1
Final energy, eV per cell: -38.9
Space group: Pm-3m (221)